VASP calculation (GGA+U) on Li5Ti2Ni3O10 after structural relaxation.

Structure (CIF):
```
data_Li5Ti2Ni3O10
_cell_length_a 5.602
_cell_length_b 5.518
_cell_length_c 9.269
_cell_angle_alpha 86.82
_cell_angle_beta 124.01
_cell_angle_gamma 103.09
_symmetry_space_group_name_H-M 'P 1'
_symmetry_Int_Tables_number 1
_symmetry_space_group_name_Hall 'P 1'
loop_
_atom_site_label
_atom_site_type_symbol
_atom_site_fract_x
_atom_site_fract_y
_atom_site_fract_z
Li1 Li 0.059 0.896 0.714
Li2 Li 0.503 0.216 0.968
Li3 Li 0.500 0.500 0.500
Li4 Li 0.941 0.104 0.286
Li5 Li 0.497 0.784 0.032
O1 O 0.954 0.187 0.082
O2 O 0.393 0.629 0.199
O3 O 0.046 0.813 0.918
O4 O 0.607 0.371 0.801
O5 O 0.425 0.802 0.801
O6 O 0.575 0.198 0.199
O7 O 0.916 0.744 0.211
O8 O 0.138 0.381 0.467
O9 O 0.084 0.256 0.789
O10 O 0.862 0.619 0.533
Ni1 Ni 0.226 0.951 0.165
Ni2 Ni 0.000 0.500 0.000
Ni3 Ni 0.774 0.049 0.835
Ti1 Ti 0.768 0.518 0.312
Ti2 Ti 0.232 0.482 0.688
```

Output
offset from the most stable computed form: 170 meV/atom
SG: P-1